A plane-wave DFT calculation with PBE with a Hubbard U was carried out for a relaxed structure of TiV4CoO12.

```
TiV4CoO12
1.0
6.994 0.165 -0.146
0.847 6.945 -0.146
1.434 1.300 5.264
Ti V Co O
1 4 1 12
direct
0.082 0.918 0.500 Ti
0.808 0.623 0.947 V
0.612 0.838 0.421 V
0.377 0.192 0.053 V
0.162 0.388 0.579 V
0.907 0.093 0.000 Co
0.959 0.820 0.866 O
0.952 0.396 0.929 O
0.835 0.966 0.383 O
0.651 0.672 0.742 O
0.604 0.048 0.071 O
0.677 0.626 0.254 O
0.328 0.349 0.258 O
0.358 0.899 0.520 O
0.374 0.323 0.746 O
0.180 0.041 0.134 O
0.101 0.642 0.480 O
0.034 0.165 0.617 O
```

Values from the calculation:
Size of the total moment in μB per cell: 5.0
Raw total energy in eV per atom: -7.65
Volume in Å³ per cell: 258
Crystal system: monoclinic